[1]
DFT (PBE-GGA) results for an optimized crystal structure of Th4Ge8Os.

a = 4.176 Å, b = 4.237 Å, c = 16.730 Å
α = 90.00°, β = 90.00°, γ = 90.00°
Space group Pmm2 (No. 25)
Asymmetric unit:
Th  0.000  0.000  0.000
Th  0.000  0.500  0.493
Th  0.500  0.000  0.784
Th  0.500  0.500  0.283
Ge  0.000  0.000  0.337
Ge  0.000  0.000  0.626
Ge  0.000  0.500  0.142
Ge  0.000  0.500  0.849
Ge  0.500  0.000  0.142
Ge  0.500  0.000  0.438
Ge  0.500  0.500  0.625
Ge  0.500  0.500  0.943
Os  0.000  0.500  0.704

Properties
V: 296 Å³/cell
Crystal system: orthorhombic
Total magnetization: 0.000 μB/f.u.
Formation energy: -0.566 eV/atom

---

[2]
DFT (PBE-GGA) results for an optimized crystal structure of LaBe3As.

a = 4.917 Å, b = 4.917 Å, c = 4.917 Å
α = 90.00°, β = 90.00°, γ = 90.00°
Space group Pm-3m (No. 221)
Asymmetric unit:
La  0.000  0.000  0.000
Be  0.000  0.000  0.500
As  0.500  0.500  0.500

Properties
V: 119 Å³/cell
Crystal system: cubic
Total magnetization: 0.000 μB/f.u.
Energy above the most stable polymorph in this dataset: 1516 meV/atom
Formation energy: 1.994 eV/atom

---

[3]
DFT (PBE-GGA) results for an optimized crystal structure of Ba9PdPt3.

a = 7.857 Å, b = 11.755 Å, c = 12.970 Å
α = 90.00°, β = 95.72°, γ = 90.00°
Space group P2_1/m (No. 11)
Asymmetric unit:
Ba  0.110  0.250  0.194
Ba  0.153  0.569  0.378
Ba  0.217  0.250  0.867
Ba  0.261  0.563  0.039
Ba  0.360  0.250  0.534
Ba  0.364  0.576  0.716
Pd  0.465  0.250  0.084
Pt  0.050  0.003  0.831
Pt  0.500  0.000  0.500

Properties
V: 1192 Å³/cell
Crystal system: monoclinic
Total magnetization: 0.000 μB/f.u.
Formation energy: -0.509 eV/atom

---

[4]
DFT (PBE-GGA) results for an optimized crystal structure of HfZnSCl2.

a = 5.072 Å, b = 5.072 Å, c = 4.889 Å
α = 90.00°, β = 90.00°, γ = 90.00°
Space group P4/mmm (No. 123)
Asymmetric unit:
Hf  0.000  0.000  0.000
Zn  0.500  0.500  0.500
S  0.000  0.000  0.500
Cl  0.000  0.500  0.000

Properties
Formation energy without anion corrections: -0.904 eV/atom
V: 126 Å³/cell
Crystal system: tetragonal
Total magnetization: 0.000 μB/f.u.
Energy above the most stable polymorph in this dataset: 0 meV/atom

---

[5]
DFT (PBE-GGA) results for an optimized crystal structure of KW2Br.

a = 3.594 Å, b = 3.594 Å, c = 7.946 Å
α = 90.00°, β = 90.00°, γ = 90.00°
Space group P4/mmm (No. 123)
Asymmetric unit:
K  0.000  0.000  0.000
W  0.500  0.500  0.353
Br  0.000  0.000  0.500

Properties
Formation energy without anion corrections: 1.928 eV/atom
V: 103 Å³/cell
Crystal system: tetragonal
Total magnetization: 0.836 μB/f.u.
Energy above the most stable polymorph in this dataset: 1529 meV/atom

---

[6]
DFT (PBE-GGA) results for an optimized crystal structure of Pm3NdTl2.

a = 16.946 Å, b = 5.474 Å, c = 9.495 Å
α = 90.00°, β = 120.07°, γ = 90.00°
Space group C2/m (No. 12)
Asymmetric unit:
Pm  0.059  0.000  0.214
Pm  0.119  0.500  0.046
Pm  0.195  0.500  0.499
Nd  0.129  0.000  0.674
Tl  0.018  0.500  0.670
Tl  0.226  0.000  0.092

Properties
V: 762 Å³/cell
Crystal system: monoclinic
Total magnetization: 0.000 μB/f.u.
Energy above the most stable polymorph in this dataset: 96 meV/atom
Formation energy: -0.178 eV/atom